Below is an optimized crystal structure of Sr2ZnFe, with properties calculated at the PBE-GGA level.

Results
The calculation puts the density at 3.86 Mg/m³. The total energy comes out at -21.95 eV/cell. For the density of states at the Fermi level, the calculation gives 1.66 states/eV/atom. The formation energy from the elements comes out at 51.3 kJ per mole of atoms.

a = 7.8086 Å, b = 3.8026 Å, c = 8.7711 Å
α = 90.00°, β = 101.34°, γ = 90.00°
Space group C2/m (No. 12)
Asymmetric unit:
Sr 0.2486 0.0000 0.2342 x4
Zn 0.0000 0.0000 0.5000 x2
Fe 0.0000 0.5000 0.0000 x2